Entry 1:
A plane-wave DFT calculation with PBE was carried out for a geometry-optimized CsYSiB2 structure.

```
5
Lattice="4.7380 0.0000 0.0000 0.0000 4.7380 0.0000 0.0000 0.0000 5.9207" Properties=species:S:1:pos:R:3 pbc="T T T"
Cs 0.0000 0.0000 0.0000
Y 0.0000 0.0000 2.9604
Si 2.3690 2.3690 2.9604
B 0.0000 2.3690 0.0000
B 2.3690 0.0000 0.0000
```

Uncorrected formation energy in kJ/mol of formula units: 1279
Calculated volume in Å³/atom: 26.582
DOS(E_F) in states/eV/f.u.: 3.93

---

Entry 2:
A plane-wave DFT calculation with PBE was carried out for a geometry-optimized CsSn3B structure.

```
5
Lattice="5.2281 0.0000 0.0000 0.0000 5.2281 0.0000 0.0000 0.0000 5.2281" Properties=species:S:1:pos:R:3 pbc="T T T"
Cs 0.0000 0.0000 0.0000
Sn 0.0000 2.6141 2.6141
Sn 2.6141 0.0000 2.6141
Sn 2.6141 2.6141 0.0000
B 2.6141 2.6141 2.6141
```

E_form in eV/atom: 0.603
Calculated volume in Å³/atom: 28.580
Relative energy among the computed polymorphs in meV per atom: 0
DOS(E_F) in states/eV/f.u.: 2.25

---

Entry 3:
A plane-wave DFT calculation with PBE was carried out for a geometry-optimized Cs3SnB structure.

```
5
Lattice="7.4773 0.0000 0.0000 0.0000 7.4773 0.0000 0.0000 0.0000 7.4773" Properties=species:S:1:pos:R:3 pbc="T T T"
Cs 0.0000 0.0000 3.7387
Cs 0.0000 3.7387 0.0000
Cs 3.7387 0.0000 0.0000
Sn 0.0000 0.0000 0.0000
B 3.7387 3.7387 3.7387
```

E_form in eV/atom: 1.104
Calculated volume in Å³/atom: 83.612
DOS(E_F) in states/eV/f.u.: 5.11

---

Entry 4:
A plane-wave DFT calculation with PBE was carried out for a geometry-optimized Cs2SnB structure.

```
4
Lattice="0.0000 4.4273 4.4273 4.4273 0.0000 4.4273 4.4273 4.4273 0.0000" Properties=species:S:1:pos:R:3 pbc="T T T"
Cs 2.2136 2.2136 2.2136
Cs 6.6409 6.6409 6.6409
Sn 0.0000 0.0000 0.0000
B 4.4273 4.4273 4.4273
```

E_form in eV/atom: 1.185
Calculated volume in Å³/atom: 43.389
Relative energy among the computed polymorphs in meV per atom: 686
DOS(E_F) in states/eV/f.u.: 6.22

---

Entry 5:
A plane-wave DFT calculation with PBE was carried out for a geometry-optimized Cs2SnB structure.

```
8
Lattice="-6.9987 6.9987 2.1649 6.9987 -6.9987 2.1649 6.9987 6.9987 -2.1649" Properties=species:S:1:pos:R:3 pbc="T T T"
Cs -0.4785 3.4993 0.5412
Cs 3.4993 6.5202 1.6237
Cs 0.4785 10.4980 0.5412
Cs -3.4993 7.4772 1.6237
Sn 6.9987 0.0000 1.0824
Sn 0.0000 0.0000 2.1649
B 0.0000 0.0000 0.0000
B 0.0000 6.9987 1.0824
```

E_form in eV/atom: 0.499
Calculated volume in Å³/atom: 53.019
Relative energy among the computed polymorphs in meV per atom: 0
DOS(E_F) in states/eV/f.u.: 3.61

---

Entry 6:
A plane-wave DFT calculation with PBE was carried out for a geometry-optimized CsSn3B structure.

```
5
Lattice="6.2540 0.0000 0.0000 0.0000 6.2540 0.0000 0.0000 0.0000 6.2540" Properties=species:S:1:pos:R:3 pbc="T T T"
Cs 0.0000 0.0000 0.0000
Sn 0.0000 0.0000 3.1270
Sn 0.0000 3.1270 0.0000
Sn 3.1270 0.0000 0.0000
B 3.1270 3.1270 3.1270
```

E_form in eV/atom: 2.306
Calculated volume in Å³/atom: 48.921
Relative energy among the computed polymorphs in meV per atom: 1703
DOS(E_F) in states/eV/f.u.: 4.42

---

- Which value of calculated volume does entry 5 give?
  53.019 Å³/atom

---

- calculated volume of number 3 (Cs3SnB)?
  83.612 Å³/atom

---

- Look up the DOS(E_F) of the third one.
  5.11 states/eV/f.u.

---

- Which of these has the highest DOS(E_F)?
  number 4